Entry 1:
Material: Pm2AlZn
Method: DFT, meta-GGA SCAN
State: PBEsol geometry

Geometry as extended XYZ:
```
16
Lattice="7.264 0.000 0.000 0.000 7.264 0.000 0.000 0.000 7.264" Properties=species:S:1:pos:R:3 pbc="T T T"
Pm 1.816 1.816 1.816
Pm 1.816 1.816 5.448
Pm 1.816 5.448 1.816
Pm 1.816 5.448 5.448
Pm 5.448 1.816 1.816
Pm 5.448 1.816 5.448
Pm 5.448 5.448 1.816
Pm 5.448 5.448 5.448
Al 0.000 0.000 0.000
Al 0.000 3.632 3.632
Al 3.632 0.000 3.632
Al 3.632 3.632 0.000
Zn 0.000 0.000 3.632
Zn 0.000 3.632 0.000
Zn 3.632 0.000 0.000
Zn 3.632 3.632 3.632
```

Summary:
Formation energy: -0.3808 eV/atom
Fermi-level density of states: 15.2 states/eV/cell
ρ: 6.6 g/cm³
Space group: Fm-3m (225)
Total magnetization: 0.0 μB per cell

***

Entry 2:
Material: TlIn2Br
Method: DFT, meta-GGA SCAN
State: PBEsol geometry

Geometry as extended XYZ:
```
8
Lattice="3.782 0.000 0.000 0.000 5.812 0.000 0.000 0.000 9.888" Properties=species:S:1:pos:R:3 pbc="T T T"
Tl 0.000 0.000 0.000
Tl 1.891 2.906 0.000
In 0.000 2.906 2.619
In 0.000 2.906 7.269
In 1.891 0.000 2.619
In 1.891 0.000 7.269
Br 0.000 0.000 4.944
Br 1.891 2.906 4.944
```

Summary:
ΔE_f (raw): -0.153 eV per atom
Fermi-level density of states: 3.0 states/eV/cell
Energy relative to the lowest polymorph listed for this composition: 0.0606 eV per atom
ρ: 7.9 g/cm³
Space group: Cmmm (65)
Total magnetization: 0.0 μB per cell

***

Entry 3:
Material: AlCdNi2
Method: DFT, meta-GGA SCAN
State: PBEsol geometry

Geometry as extended XYZ:
```
8
Lattice="3.635 0.000 0.000 0.000 3.635 0.000 0.000 0.000 8.015" Properties=species:S:1:pos:R:3 pbc="T T T"
Al 0.000 0.000 0.000
Al 1.818 1.818 4.007
Cd 0.000 1.818 2.004
Cd 1.818 0.000 6.011
Ni 0.000 0.000 4.007
Ni 0.000 1.818 6.011
Ni 1.818 0.000 2.004
Ni 1.818 1.818 0.000
```

Summary:
Formation energy: -0.1363 eV/atom
Fermi-level density of states: 4.6 states/eV/cell
ρ: 8.1 g/cm³
Space group: I-4m2 (119)
Total magnetization: 0.0 μB per cell

***

Entry 4:
Material: GaGe2BIr
Method: DFT, meta-GGA SCAN
State: PBEsol geometry

Geometry as extended XYZ:
```
5
Lattice="4.388 0.000 0.000 0.000 4.388 0.000 0.000 0.000 4.112" Properties=species:S:1:pos:R:3 pbc="T T T"
Ga 0.000 0.000 0.000
Ge 0.000 2.194 2.056
Ge 2.194 0.000 2.056
B 2.194 2.194 2.056
Ir 2.194 2.194 0.000
```

Summary:
Formation energy: 0.6171 eV/atom
Fermi-level density of states: 2.3 states/eV/cell
ρ: 8.8 g/cm³
Space group: P4/mmm (123)
Total magnetization: 0.0 μB per cell

***

Entry 5:
Material: BiTeHN2
Method: DFT, meta-GGA SCAN
State: PBEsol geometry

Geometry as extended XYZ:
```
5
Lattice="4.415 0.000 0.000 0.000 4.415 0.000 0.000 0.000 3.434" Properties=species:S:1:pos:R:3 pbc="T T T"
Bi 0.000 0.000 0.000
Te 2.208 2.208 0.000
H 2.208 2.208 1.717
N 0.000 2.208 1.717
N 2.208 0.000 1.717
```

Summary:
Fermi-level density of states: 2.3 states/eV/cell
ρ: 9.1 g/cm³
Space group: P4/mmm (123)
Electronic total energy: -0.94689 hartree per atom
Total magnetization: 0.9 μB per cell

***

Entry 6:
Material: MgBeIn
Method: DFT, meta-GGA SCAN
State: PBEsol geometry

Geometry as extended XYZ:
```
3
Lattice="3.159 0.000 0.000 -1.579 2.735 0.000 0.000 0.000 6.439" Properties=species:S:1:pos:R:3 pbc="T T T"
Mg 0.000 0.000 0.000
Be 0.000 1.824 4.468
In 1.579 0.912 2.524
```

Summary:
Formation energy: 0.3079 eV/atom
Fermi-level density of states: 1.0 states/eV/cell
Energy relative to the lowest polymorph listed for this composition: 0.0191 eV per atom
ρ: 4.4 g/cm³
Space group: P3m1 (156)
Total magnetization: 0.0 μB per cell

***

Entry 7:
Material: NaCr3Cu
Method: DFT, meta-GGA SCAN
State: PBEsol geometry

Geometry as extended XYZ:
```
5
Lattice="4.744 0.000 0.000 0.000 4.744 0.000 0.000 0.000 4.744" Properties=species:S:1:pos:R:3 pbc="T T T"
Na 0.000 0.000 0.000
Cr 0.000 2.372 2.372
Cr 2.372 0.000 2.372
Cr 2.372 2.372 0.000
Cu 2.372 2.372 2.372
```

Summary:
Formation energy: 0.9065 eV/atom
Fermi-level density of states: 2.2 states/eV/cell
ρ: 3.8 g/cm³
Space group: Pm-3m (221)
Total magnetization: 14.0 μB per cell

***

Entry 8:
Material: P2IrSe
Method: DFT, meta-GGA SCAN
State: PBEsol geometry

Geometry as extended XYZ:
```
4
Lattice="2.909 0.000 0.000 0.000 4.457 0.000 0.000 0.000 4.524" Properties=species:S:1:pos:R:3 pbc="T T T"
P 0.000 0.000 0.000
P 1.455 2.229 0.000
Ir 0.000 2.229 2.262
Se 1.455 0.000 2.262
```

Summary:
ΔE_f (raw): 0.746 eV per atom
Fermi-level density of states: 1.9 states/eV/cell
ρ: 9.4 g/cm³
Space group: Pmmm (47)
Total magnetization: 0.0 μB per cell

***

What is the Fermi-level density of states in the eighth record? 1.9 states/eV/cell

***

Which value of Fermi-level density of states does entry 5 give? 2.3 states/eV/cell